Record 1
# CuNiH

A relaxed structure of CuNiH (GGA-PBE, the Alexandria database).

a = 4.9993 Å, b = 4.9993 Å, c = 4.4637 Å
α = 116.20°, β = 116.20°, γ = 30.38°
Fractional coordinates of all 6 atoms:
Cu1 0.1167 0.1167 0.2885
Cu2 0.8833 0.8833 0.7115
Ni1 0.3768 0.3768 0.2090
Ni2 0.6232 0.6232 0.7910
H1 0.2350 0.2350 0.7820
H2 0.7650 0.7650 0.2180

**Distance to the lowest polymorph of the same formula**: 0.04 eV per formula unit
**Total energy**: -4.410 eV per atom
**Density of states at the Fermi level**: 2.5 states/eV/cell
**Magnetization**: 0.0 μB per formula unit



Record 2
# Rb2SnTeS4

A relaxed structure of Rb2SnTeS4 (GGA-PBE, the Alexandria database).

a = 6.9258 Å, b = 6.9258 Å, c = 6.9258 Å
α = 109.54°, β = 109.54°, γ = 109.33°
Fractional coordinates of all 8 atoms:
Rb1 0.0000 0.0000 0.0000
Rb2 0.7500 0.2500 0.5000
Sn1 0.2500 0.7500 0.5000
Te1 0.5000 0.5000 0.0000
S1 0.2678 0.4196 0.5466
S2 0.2788 0.7322 0.1518
S3 0.5804 0.1270 0.8482
S4 0.8730 0.7212 0.4534

**Total energy**: -3.804 eV per atom
**Magnetization**: 0.0 μB per formula unit
**Formation energy without anion corrections**: -58.4 kJ per mole of atoms



Record 3
# Te2OsPbN

A relaxed structure of Te2OsPbN (GGA-PBE, the Alexandria database).

a = 5.6421 Å, b = 5.6421 Å, c = 3.7220 Å
α = 90.00°, β = 90.00°, γ = 90.00°
Fractional coordinates of all 5 atoms:
Te1 0.0000 0.5000 0.0000
Te2 0.5000 0.0000 0.0000
Os1 0.0000 0.0000 0.0000
Pb1 0.5000 0.5000 0.5000
N1 0.0000 0.0000 0.5000

**Distance to the lowest polymorph of the same formula**: 0.00 eV per formula unit
**Total energy**: -5.703 eV per atom
**Density of states at the Fermi level**: 2.5 states/eV/cell
**Magnetization**: 0.0 μB per formula unit
**Formation energy without anion corrections**: 19.9 kJ per mole of atoms



Record 4
# TlIn5S7

A relaxed structure of TlIn5S7 (GGA-PBE, the Alexandria database).

a = 9.2322 Å, b = 3.9442 Å, c = 17.7358 Å
α = 90.00°, β = 102.47°, γ = 90.00°
Fractional coordinates of all 26 atoms:
Tl1 0.0256 0.2500 0.2244
Tl2 0.9744 0.7500 0.7756
In1 0.1453 0.7500 0.4549
In2 0.1721 0.2500 0.0323
In3 0.3193 0.7500 0.6880
In4 0.4331 0.2500 0.3810
In5 0.4744 0.2500 0.8989
In6 0.5256 0.7500 0.1011
In7 0.5669 0.7500 0.6190
In8 0.6807 0.2500 0.3120
In9 0.8279 0.7500 0.9677
In10 0.8547 0.2500 0.5451
S1 0.0365 0.7500 0.0878
S2 0.0576 0.7500 0.5888
S3 0.2552 0.7500 0.3297
S4 0.2631 0.2500 0.7704
S5 0.3306 0.7500 0.9670
S6 0.3358 0.2500 0.5057
S7 0.3873 0.2500 0.1495
S8 0.6127 0.7500 0.8505
S9 0.6642 0.7500 0.4943
S10 0.6694 0.2500 0.0330
S11 0.7369 0.7500 0.2296
S12 0.7448 0.2500 0.6703
S13 0.9424 0.2500 0.4112
S14 0.9635 0.2500 0.9122

**Total energy**: -3.992 eV per atom
**Magnetization**: 0.0 μB per formula unit
**Formation energy without anion corrections**: -51.6 kJ per mole of atoms



Question: Look up the total energy of the second one.
Answer: -3.804 eV per atom